[1]
Y2Al4NiAu3 | GGA-PBE | optimized geometry

## Properties
Energy of formation   -0.681 eV per atom
Space group   P-4m2, No. 115
M_tot   0.0 μB/f.u.
Calculated total energy   -5.0322 eV/atom

a = 4.251 Å, b = 4.251 Å, c = 10.583 Å
α = 90.00°, β = 90.00°, γ = 90.00°
Atoms (fractional coordinates):
Y (0.000, 0.500, 0.241)
Y (0.500, 0.000, 0.759)
Al (0.000, 0.000, 0.500)
Al (0.000, 0.500, 0.877)
Al (0.500, 0.000, 0.123)
Al (0.500, 0.500, 0.500)
Ni (0.500, 0.500, 0.000)
Au (0.000, 0.000, 0.000)
Au (0.000, 0.500, 0.641)
Au (0.500, 0.000, 0.359)

***

[2]
Ac6Pr | GGA-PBE | optimized geometry

## Properties
Energy of formation   0.292 eV per atom
Offset from the most stable computed form   0.0 meV/atom
Space group   P4/nbm, No. 125
M_tot   0.0 μB/f.u.
Calculated total energy   -3.9128 eV/atom

a = 7.207 Å, b = 7.207 Å, c = 12.446 Å
α = 90.00°, β = 90.00°, γ = 90.00°
Atoms (fractional coordinates):
Ac (0.078, 0.578, 0.137)
Ac (0.078, 0.922, 0.863)
Ac (0.250, 0.250, 0.361)
Ac (0.250, 0.250, 0.639)
Ac (0.422, 0.578, 0.863)
Ac (0.422, 0.922, 0.137)
Ac (0.578, 0.078, 0.863)
Ac (0.578, 0.422, 0.137)
Ac (0.750, 0.750, 0.361)
Ac (0.750, 0.750, 0.639)
Ac (0.922, 0.078, 0.137)
Ac (0.922, 0.422, 0.863)
Pr (0.250, 0.750, 0.500)
Pr (0.750, 0.250, 0.500)

***

[3]
Ca2EuAg | GGA-PBE | optimized geometry

## Properties
Energy of formation   0.052 eV per atom
Offset from the most stable computed form   188.4 meV/atom
Space group   R-3m, No. 166
M_tot   7.5 μB/f.u.
Calculated total energy   -4.2304 eV/atom

a = 11.649 Å, b = 11.649 Å, c = 11.649 Å
α = 19.24°, β = 19.24°, γ = 19.24°
Atoms (fractional coordinates):
Ca (0.106, 0.106, 0.106)
Ca (0.894, 0.894, 0.894)
Eu (0.000, 0.000, 0.000)
Ag (0.500, 0.500, 0.500)